# 1
Here is a relaxed TbSmRu2 crystal from Alexandria. Energies are from PBE-GGA.

Energy of formation from the pure elements   -0.2214 eV per atom
Energy   -7.197 eV per atom
Magnetic moment   0.0 Bohr magnetons per cell
Space-group type   P4/mmm
Calculated density   10419 kg/m3

Lattice parameters (Å, degrees): 3.4408 3.4408 6.8846 90.00 90.00 90.00
Element x y z (fractional)
Ru 0.0000 0.0000 0.7539
Ru 0.0000 0.0000 0.2461
Tb 0.5000 0.5000 0.0000
Sm 0.5000 0.5000 0.5000


# 2
Here is a relaxed K2ZnGeO4 crystal from Alexandria. Energies are from PBE-GGA.

Energy   -5.192 eV per atom
Formation energy from raw total energies   -1.702 eV per atom
Magnetic moment   0.0 Bohr magnetons per cell
Space-group type   Pca2_1
Calculated density   3654 kg/m3

Lattice parameters (Å, degrees): 5.6277 11.2822 16.0483 90.00 90.00 90.00
Element x y z (fractional)
K 0.0447 0.2648 0.9948
K 0.9553 0.7352 0.4948
K 0.9553 0.7648 0.9948
K 0.0447 0.2352 0.4948
K 0.5458 0.2680 0.1277
K 0.4542 0.7320 0.6277
K 0.4542 0.7680 0.1277
K 0.5458 0.2320 0.6277
K 0.0059 0.4851 0.3734
K 0.9941 0.5149 0.8734
K 0.9941 0.9851 0.3734
K 0.5089 0.0138 0.2529
K 0.5089 0.4862 0.7529
K 0.4911 0.5138 0.2529
K 0.4911 0.9862 0.7529
K 0.0059 0.0149 0.8734
Zn 0.5141 0.4899 0.5020
Zn 0.9697 0.7608 0.2478
Zn 0.9697 0.7392 0.7478
Zn 0.0303 0.2608 0.2478
Zn 0.5141 0.0101 0.0020
Zn 0.4859 0.9899 0.5020
Zn 0.4859 0.5101 0.0020
Zn 0.0303 0.2392 0.7478
Ge 0.0178 0.0099 0.1235
Ge 0.9822 0.9901 0.6235
Ge 0.9822 0.5099 0.1235
Ge 0.0178 0.4901 0.6235
Ge 0.5276 0.2358 0.3777
Ge 0.4724 0.7642 0.8777
Ge 0.4724 0.7358 0.3777
Ge 0.5276 0.2642 0.8777
O 0.2914 0.4870 0.1045
O 0.7086 0.5130 0.6045
O 0.7086 0.9870 0.1045
O 0.2914 0.0130 0.6045
O 0.8224 0.4744 0.0304
O 0.1776 0.5256 0.5304
O 0.1776 0.9744 0.0304
O 0.8224 0.0256 0.5304
O 0.3897 0.3988 0.9116
O 0.6103 0.6012 0.4116
O 0.6103 0.8988 0.9116
O 0.3897 0.1012 0.4116
O 0.8966 0.4156 0.2077
O 0.1034 0.5844 0.7077
O 0.1034 0.9156 0.2077
O 0.0916 0.1599 0.1494
O 0.7969 0.3065 0.8273
O 0.2031 0.6935 0.3273
O 0.2031 0.8065 0.8273
O 0.7969 0.1935 0.3273
O 0.3271 0.3078 0.3083
O 0.6729 0.6922 0.8083
O 0.6729 0.8078 0.3083
O 0.3271 0.1922 0.8083
O 0.5911 0.3253 0.4665
O 0.4089 0.6747 0.9665
O 0.4089 0.8253 0.4665
O 0.5911 0.1747 0.9665
O 0.0916 0.3401 0.6494
O 0.9084 0.6599 0.1494
O 0.9084 0.8401 0.6494
O 0.8966 0.0844 0.7077


# 3
Here is a relaxed BaAl6Ag8 crystal from Alexandria. Energies are from PBE-GGA.

Energy of formation from the pure elements   -0.0207 eV per atom
Energy   -3.167 eV per atom
Magnetic moment   0.0 Bohr magnetons per cell
Space-group type   R-3
Calculated density   6390 kg/m3

Lattice parameters (Å, degrees): 6.9472 6.9472 6.9472 73.86 73.86 73.86
Element x y z (fractional)
Ba 0.0000 0.0000 0.0000
Al 0.1746 0.3690 0.5656
Al 0.4344 0.8254 0.6310
Al 0.6310 0.4344 0.8254
Al 0.3690 0.5656 0.1746
Al 0.5656 0.1746 0.3690
Al 0.8254 0.6310 0.4344
Ag 0.2060 0.5385 0.8615
Ag 0.1385 0.7940 0.4615
Ag 0.4615 0.1385 0.7940
Ag 0.7774 0.7774 0.7774
Ag 0.2226 0.2226 0.2226
Ag 0.5385 0.8615 0.2060
Ag 0.8615 0.2060 0.5385
Ag 0.7940 0.4615 0.1385


# 4
Here is a relaxed LaHf2Au2 crystal from Alexandria. Energies are from PBE-GGA.

Energy of formation from the pure elements   -0.3496 eV per atom
Energy   -6.627 eV per atom
Magnetic moment   0.0 Bohr magnetons per cell
Space-group type   I4/mmm
Calculated density   11936 kg/m3

Lattice parameters (Å, degrees): 4.5997 4.5997 6.6944 69.91 69.91 90.00
Element x y z (fractional)
Hf 0.7500 0.2500 0.5000
Hf 0.2500 0.7500 0.5000
Au 0.3831 0.3831 0.2337
Au 0.6169 0.6169 0.7663
La 0.0000 0.0000 0.0000


# 5
Here is a relaxed Sm3PuHg5 crystal from Alexandria. Energies are from PBE-GGA.

Energy of formation from the pure elements   -0.3600 eV per atom
Energy   -3.693 eV per atom
Magnetic moment   13.1 Bohr magnetons per cell
Space-group type   P6_3/mcm
Calculated density   11771 kg/m3

Lattice parameters (Å, degrees): 6.3746 9.3155 9.3157 120.00 90.00 90.00
Element x y z (fractional)
Sm 0.7500 0.3593 0.3593
Sm 0.7500 0.0000 0.6407
Sm 0.7500 0.6407 0.0000
Sm 0.2500 0.6407 0.6407
Sm 0.2500 0.0000 0.3593
Sm 0.2500 0.3593 0.0000
Pu 0.0000 0.0000 0.0000
Pu 0.5000 0.0000 0.0000
Hg 0.0000 0.6667 0.3333
Hg 0.5000 0.3333 0.6667
Hg 0.0000 0.3333 0.6667
Hg 0.5000 0.6667 0.3333
Hg 0.7500 0.6912 0.6913
Hg 0.7500 0.0000 0.3087
Hg 0.7500 0.3087 0.0000
Hg 0.2500 0.3088 0.3087
Hg 0.2500 0.0000 0.6913
Hg 0.2500 0.6913 0.0000


# 6
Here is a relaxed TaCuP2Cl crystal from Alexandria. Energies are from PBE-GGA.

Energy   -4.795 eV per atom
Formation energy from raw total energies   0.928 eV per atom
Magnetic moment   0.0 Bohr magnetons per cell
Space-group type   P4/mmm
Calculated density   6449 kg/m3

Lattice parameters (Å, degrees): 4.4678 4.4678 4.4103 90.00 90.00 90.00
Element x y z (fractional)
P 0.0000 0.5000 0.0000
P 0.5000 0.0000 0.0000
Cl 0.0000 0.0000 0.5000
Cu 0.0000 0.0000 0.0000
Ta 0.5000 0.5000 0.5000


# 7
Here is a relaxed CuGe2NO crystal from Alexandria. Energies are from PBE-GGA.

Energy   -4.380 eV per atom
Formation energy from raw total energies   0.942 eV per atom
Magnetic moment   0.0 Bohr magnetons per cell
Space-group type   P4/mmm
Calculated density   5776 kg/m3

Lattice parameters (Å, degrees): 4.3260 3.6689 4.3260 90.00 90.00 90.00
Element x y z (fractional)
Ge 0.0000 0.0000 0.5000
Ge 0.5000 0.0000 0.0000
O 0.0000 0.0000 0.0000
Cu 0.5000 0.5000 0.5000
N 0.0000 0.5000 0.0000


# 8
Here is a relaxed Zr2CdRu crystal from Alexandria. Energies are from PBE-GGA.

Energy of formation from the pure elements   -0.0855 eV per atom
Energy   -6.907 eV per atom
Magnetic moment   0.0 Bohr magnetons per cell
Space-group type   I-4m2
Calculated density   8434 kg/m3

Lattice parameters (Å, degrees): 5.4315 5.4315 5.4315 135.37 135.37 64.95
Element x y z (fractional)
Cd 0.5000 0.5000 0.0000
Ru 0.7500 0.2500 0.5000
Zr 0.0000 0.0000 0.0000
Zr 0.2500 0.7500 0.5000


# 9
Here is a relaxed NaTl12Sn6 crystal from Alexandria. Energies are from PBE-GGA.

Energy of formation from the pure elements   0.0314 eV per atom
Energy   -2.797 eV per atom
Magnetic moment   0.0 Bohr magnetons per cell
Space-group type   R-3
Calculated density   8952 kg/m3

Lattice parameters (Å, degrees): 8.8947 8.8947 8.8947 106.67 106.67 106.67
Element x y z (fractional)
Na 0.0000 0.0000 0.0000
Tl 0.5210 0.1913 0.6381
Tl 0.1913 0.6381 0.5210
Tl 0.6381 0.5210 0.1913
Tl 0.4790 0.8087 0.3619
Tl 0.8087 0.3619 0.4790
Tl 0.3619 0.4790 0.8087
Tl 0.2965 0.0488 0.8350
Tl 0.1650 0.7035 0.9512
Tl 0.9512 0.1650 0.7035
Tl 0.7035 0.9512 0.1650
Tl 0.8350 0.2965 0.0488
Tl 0.0488 0.8350 0.2965
Sn 0.1408 0.2437 0.3984
Sn 0.7563 0.6016 0.8592
Sn 0.6016 0.8592 0.7563
Sn 0.8592 0.7563 0.6016
Sn 0.2437 0.3984 0.1408
Sn 0.3984 0.1408 0.2437


# 10
Here is a relaxed PrErIn2Se4 crystal from Alexandria. Energies are from PBE-GGA.

Energy   -4.878 eV per atom
Formation energy from raw total energies   -1.283 eV per atom
Magnetic moment   0.0 Bohr magnetons per cell
Space-group type   P2/m
Calculated density   5942 kg/m3

Lattice parameters (Å, degrees): 4.2179 8.1018 7.3176 72.54 90.00 90.00
Element x y z (fractional)
Pr 0.5000 0.5000 0.0000
Er 0.0000 0.5000 0.5000
In 0.0000 0.0000 0.0000
In 0.5000 0.0000 0.5000
Se 0.0000 0.7145 0.7505
Se 0.0000 0.2855 0.2495
Se 0.5000 0.7087 0.2748
Se 0.5000 0.2913 0.7252


# 11
Here is a relaxed LiNb2Os crystal from Alexandria. Energies are from PBE-GGA.

Energy of formation from the pure elements   0.5145 eV per atom
Energy   -7.806 eV per atom
Magnetic moment   0.0 Bohr magnetons per cell
Space-group type   I-42d
Calculated density   8880 kg/m3

Lattice parameters (Å, degrees): 7.2210 7.2210 5.7980 51.49 51.49 90.00
Element x y z (fractional)
Nb 0.6523 0.1250 0.2500
Nb 0.0977 0.6250 0.2500
Nb 0.3750 0.3477 0.7500
Nb 0.8750 0.9023 0.7500
Os 0.0000 0.0000 0.0000
Os 0.7500 0.2500 0.5000
Li 0.5000 0.5000 0.0000
Li 0.2500 0.7500 0.5000


# 12
Here is a relaxed Ca3Ac2NbN6 crystal from Alexandria. Energies are from PBE-GGA.

Energy   -7.116 eV per atom
Formation energy from raw total energies   -0.929 eV per atom
Magnetic moment   0.5 Bohr magnetons per cell
Space-group type   C2/m
Calculated density   6359 kg/m3

Lattice parameters (Å, degrees): 6.3127 6.3127 6.0781 99.30 99.30 120.98
Element x y z (fractional)
Ca 0.1488 0.8512 0.5000
Ca 0.8512 0.1488 0.5000
Ca 0.5000 0.5000 0.5000
Ac 0.3316 0.6684 0.0000
Ac 0.6684 0.3316 0.0000
Nb 0.0000 0.0000 0.0000
N 0.9249 0.6440 0.7744
N 0.7805 0.7805 0.2209
N 0.0751 0.3560 0.2256
N 0.6440 0.9249 0.7744
N 0.2195 0.2195 0.7791
N 0.3560 0.0751 0.2256


# 13
Here is a relaxed Tb5SmTmTh2 crystal from Alexandria. Energies are from PBE-GGA.

Energy of formation from the pure elements   0.3406 eV per atom
Energy   -4.902 eV per atom
Magnetic moment   0.0 Bohr magnetons per cell
Space-group type   I4/mcm
Calculated density   8738 kg/m3

Lattice parameters (Å, degrees): 8.8166 8.8166 9.9195 116.39 116.39 90.00
Element x y z (fractional)
Tb 0.9291 0.4291 0.2773
Tb 0.6518 0.1518 0.7227
Tb 0.0709 0.5709 0.7227
Tb 0.1518 0.0709 0.7227
Tb 0.5709 0.6518 0.7227
Tb 0.8482 0.9291 0.2773
Tb 0.4291 0.3482 0.2773
Tb 0.3482 0.8482 0.2773
Tb 0.5000 0.5000 0.0000
Tb 0.0000 0.0000 0.0000
Sm 0.2500 0.2500 0.5000
Sm 0.7500 0.7500 0.5000
Tm 0.2500 0.7500 0.5000
Tm 0.7500 0.2500 0.5000
Th 0.1194 0.3806 0.0000
Th 0.6194 0.1194 0.0000
Th 0.3806 0.8806 0.0000
Th 0.8806 0.6194 0.0000


# 14
Here is a relaxed TlAuC crystal from Alexandria. Energies are from PBE-GGA.

Energy of formation from the pure elements   0.4992 eV per atom
Energy   -4.457 eV per atom
Magnetic moment   0.0 Bohr magnetons per cell
Space-group type   P1
Calculated density   8860 kg/m3

Lattice parameters (Å, degrees): 5.5709 5.2515 7.3949 95.22 84.03 133.92
Element x y z (fractional)
Tl 0.4608 0.9414 0.7111
Tl 0.7444 0.6210 0.3689
Au 0.0729 0.3743 0.4094
Au 0.9338 0.2144 0.0107
C 0.9295 0.8310 0.0031
C 0.9321 0.5944 0.0055


# 15
Here is a relaxed SmEr2Lu crystal from Alexandria. Energies are from PBE-GGA.

Energy of formation from the pure elements   0.0269 eV per atom
Energy   -4.565 eV per atom
Magnetic moment   0.0 Bohr magnetons per cell
Space-group type   P4/mmm
Calculated density   8854 kg/m3

Lattice parameters (Å, degrees): 4.9969 4.9765 4.9765 90.00 90.00 90.00
Element x y z (fractional)
Lu 0.5000 0.0000 0.0000
Sm 0.5000 0.5000 0.5000
Er 0.0000 0.0000 0.5000
Er 0.0000 0.5000 0.0000